## Rb2PuV3F12 (PBE with a Hubbard U)

Data for a relaxed Rb2PuV3F12 crystal. Values from VASP.

Structure (Quantum ESPRESSO input):
```
&SYSTEM
  ibrav = 0, nat = 18, ntyp = 4
/
ATOMIC_SPECIES
F 19.00 F.upf
Pu 244.00 Pu.upf
V 50.94 V.upf
Rb 85.47 Rb.upf
ATOMIC_POSITIONS angstrom
F 8.707 2.277 1.615
F 11.050 6.432 2.129
F 3.441 4.299 0.617
F 6.280 6.446 1.615
F 9.053 7.566 5.366
Pu 0.000 0.000 0.000
F 5.438 0.869 0.617
V 3.716 -0.081 -0.057
F 8.211 1.989 4.368
F 11.050 4.136 5.366
F 6.280 3.655 5.550
F 5.784 6.158 4.368
F 3.441 2.003 3.854
Rb 5.530 3.219 2.283
Rb 8.961 5.216 3.700
V 1.765 1.027 3.106
F 8.211 4.780 0.433
V 1.765 3.271 -0.057
CELL_PARAMETERS angstrom
7.432 -0.162 -0.115
3.529 6.542 -0.115
3.529 2.054 6.213
```

## Properties
Electronic total energy, eV/atom: -6.351
Crystal system: trigonal
Space group: R-3m (166)